First-principles (PBE) data for crystalline Ta2NbB4 at its relaxed geometry, as listed in Alexandria via LeMat-Bulk.

a = 3.1432 Å, b = 3.3199 Å, c = 7.4147 Å
α = 102.94°, β = 102.24°, γ = 90.00°
With the nearest neighbours (Å) after each atom.
Sites, in units of the cell vectors:
Nb 0.5000 0.0000 0.0000  12 B 2.46-2.51
B 0.6337 0.6337 0.2673  2 B 1.85
B 0.3664 0.3664 0.7327  2 B 1.85
B 0.0645 0.5645 0.1291  3 B 1.82-1.85
B 0.9355 0.4355 0.8709  3 B 1.82-1.85
Ta 0.8148 0.8148 0.6296  7 B 2.38-2.56
Ta 0.1852 0.1852 0.3704  7 B 2.38-2.56

Output
ΔE_f   -0.78 eV per atom
Total DFT energy (no corrections)   -9.4242 eV/atom